Entry 1:
Material: YNi2Se
Method: DFT, PBE-GGA
State: relaxed

Values from the calculation:
energy: -22.4 eV for the cell shown
raw formation energy: -0.9 eV per formula unit
space-group type: F-43m

a = 4.573 Å, b = 4.573 Å, c = 4.573 Å
α = 60.00°, β = 60.00°, γ = 60.00°
Fractional coordinates of all 4 atoms:
Y1 0.000 0.000 0.000
Ni1 0.250 0.250 0.250
Ni2 0.500 0.500 0.500
Se1 0.750 0.750 0.750

---

Entry 2:
Material: HfRhAu2
Method: DFT, PBE-GGA
State: relaxed

Values from the calculation:
energy: -25.3 eV for the cell shown
space-group type: Fm-3m
DFT formation energy: -0.36 eV per atom

a = 4.638 Å, b = 4.638 Å, c = 4.638 Å
α = 60.00°, β = 60.00°, γ = 60.00°
Fractional coordinates of all 4 atoms:
Hf1 0.000 0.000 0.000
Rh1 0.500 0.500 0.500
Au1 0.250 0.250 0.250
Au2 0.750 0.750 0.750

---

Entry 3:
Material: TiNbNiMo
Method: DFT, PBE-GGA
State: relaxed

Values from the calculation:
energy: -35.2 eV for the cell shown
space-group type: F-43m
DFT formation energy: -0.16 eV per atom

a = 4.430 Å, b = 4.430 Å, c = 4.430 Å
α = 60.00°, β = 60.00°, γ = 60.00°
Fractional coordinates of all 4 atoms:
Ti1 0.000 0.000 0.000
Nb1 0.500 0.500 0.500
Ni1 0.750 0.750 0.750
Mo1 0.250 0.250 0.250